Compound: NaPu2IrO8
Source: Alexandria via LeMat-Bulk
Functional: PBE
Structure: optimized geometry

Calculated values
total magnetization = 6.00 μB per formula unit
E = -8.40 eV per atom
formation energy without anion corrections = -1.856 eV/atom

Cell and atoms, written as POSCAR:
```
NaPu2IrO8
1.0
5.1447 0.0000 0.0000
0.0000 5.1447 0.0000
-2.5724 -2.5724 5.2424
Na Pu Ir O
1 2 1 8
Cartesian
0.0000 0.0000 0.0000
2.5724 2.5724 0.0000
0.0000 2.5724 2.6212
2.5724 0.0000 2.6212
3.7719 3.8771 1.4031
1.3729 1.2677 1.4031
1.3042 1.1996 3.8392
-1.3042 -1.1996 3.8392
3.7719 1.2681 1.4032
1.3728 3.8766 1.4032
-1.3047 1.1995 3.8393
1.3047 -1.1995 3.8393
```